1.
DFT (PBE) results for crystalline Sm6AlSn at its relaxed geometry.

a b c (Å): 4.8764 4.8764 9.7355
angles (deg): 90.00 90.00 90.00
Sites, in units of the cell vectors:
Sm  0.0000  0.0000  0.0000
Sm  0.0000  0.0000  0.5000
Sm  0.0000  0.5000  0.2463
Sm  0.0000  0.5000  0.7537
Sm  0.5000  0.0000  0.2463
Sm  0.5000  0.0000  0.7537
Al  0.5000  0.5000  0.0000
Sn  0.5000  0.5000  0.5000

Computed properties:
Energy of formation (meV per atom): -314
Symmetry: P4/mmm

2.
DFT (PBE) results for crystalline KInSn2 at its relaxed geometry.

a b c (Å): 4.7038 4.7038 27.9932
angles (deg): 90.00 90.00 120.00
Sites, in units of the cell vectors:
K  0.0000  0.0000  0.0000
K  0.3333  0.6667  0.6667
K  0.6667  0.3333  0.3333
In  0.0000  0.0000  0.5000
In  0.3333  0.6667  0.1667
In  0.6667  0.3333  0.8333
Sn  0.0000  0.0000  0.1234
Sn  0.0000  0.0000  0.8766
Sn  0.3333  0.6667  0.5433
Sn  0.3333  0.6667  0.7901
Sn  0.6667  0.3333  0.2099
Sn  0.6667  0.3333  0.4567

Computed properties:
Energy of formation (meV per atom): 149
Symmetry: R-3m

3.
DFT (PBE) results for crystalline NiIrRh at its relaxed geometry.

a b c (Å): 2.6856 4.5929 13.3635
angles (deg): 90.00 90.00 90.00
Sites, in units of the cell vectors:
Ni  0.0000  0.0000  0.0000
Ni  0.0000  0.5000  0.5000
Ni  0.5000  0.0000  0.5000
Ni  0.5000  0.5000  0.0000
Ir  0.0000  0.0000  0.6618
Ir  0.0000  0.5000  0.1618
Ir  0.5000  0.0000  0.1618
Ir  0.5000  0.5000  0.6618
Rh  0.0000  0.0000  0.3364
Rh  0.0000  0.5000  0.8364
Rh  0.5000  0.0000  0.8364
Rh  0.5000  0.5000  0.3364

Computed properties:
Energy of formation (meV per atom): 235
Symmetry: Fmm2

| no. | total magnetization (μB per formula unit) |
| --- | --- |
| 1 | 0.00 |
| 2 | 0.00 |
| 3 | 0.00 |